# Np2VGe4Ir3

Np2VGe4Ir3 after structural relaxation (PBE, the Alexandria database). Values from VASP.

Calculated values
- Energy of formation: -0.350 eV per atom

```
&SYSTEM
  ibrav = 0, nat = 10, ntyp = 4
/
ATOMIC_SPECIES
Np 237.00 Np.upf
V 50.94 V.upf
Ge 72.64 Ge.upf
Ir 192.22 Ir.upf
ATOMIC_POSITIONS angstrom
Np 2.0897 0.0000 2.6356
Np 0.0000 2.0897 7.7644
V 2.0897 2.0897 5.2000
Ge 2.0897 2.0897 0.0000
Ge 0.0000 0.0000 0.0000
Ge 2.0897 0.0000 6.6190
Ge 0.0000 2.0897 3.7810
Ir 0.0000 0.0000 5.2000
Ir 2.0897 0.0000 9.0606
Ir 0.0000 2.0897 1.3394
CELL_PARAMETERS angstrom
4.1794 0.0000 0.0000
0.0000 4.1794 0.0000
0.0000 0.0000 10.4000
```



# MgBi2Pd2

MgBi2Pd2 after structural relaxation (PBE, the Alexandria database). Values from VASP.

Calculated values
- ΔE to the lowest computed polymorph: 0.00 kJ per mole of atoms
- Energy of formation: -0.315 eV per atom

```
&SYSTEM
  ibrav = 0, nat = 10, ntyp = 3
/
ATOMIC_SPECIES
Mg 24.30 Mg.upf
Bi 208.98 Bi.upf
Pd 106.42 Pd.upf
ATOMIC_POSITIONS angstrom
Mg 0.0000 0.0000 0.0000
Mg 3.6017 3.6017 0.0000
Bi 1.1962 4.7979 2.1299
Bi 4.7979 6.0072 2.1299
Bi 6.0072 2.4055 2.1299
Bi 2.4055 1.1962 2.1299
Pd 2.5953 6.1970 0.0000
Pd 6.1970 4.6082 0.0000
Pd 4.6082 1.0065 0.0000
Pd 1.0065 2.5953 0.0000
CELL_PARAMETERS angstrom
7.2034 0.0000 0.0000
0.0000 7.2034 0.0000
0.0000 0.0000 4.2598
```



Among the records above, which one has the highest energy of formation?
MgBi2Pd2



Look up the energy of formation of the second one.
-0.315 eV per atom